Version i
Below is a relaxed structure of Ba4Ta2O9, with properties calculated at the GGA-PBEsol level.

Structure (POSCAR):
```
Ba4Ta2O9
1.0
6.1877 0.0000 0.0000
-3.0938 5.3587 0.0000
0.0000 0.0000 15.5684
Ba Ta O
8 4 18
Direct
0.3333 0.6667 0.0327
0.3333 0.6667 0.2945
0.3333 0.6667 0.5327
0.3333 0.6667 0.7945
0.6667 0.3333 0.2055
0.6667 0.3333 0.4673
0.6667 0.3333 0.7055
0.6667 0.3333 0.9673
0.0000 0.0000 0.1512
0.0000 0.0000 0.3488
0.0000 0.0000 0.6512
0.0000 0.0000 0.8488
0.0000 0.2350 0.2500
0.0000 0.7650 0.7500
0.0455 0.2987 0.9045
0.0455 0.7468 0.4045
0.2350 0.0000 0.2500
0.2350 0.2350 0.7500
0.2532 0.2987 0.4045
0.2532 0.9545 0.9045
0.2987 0.0455 0.5955
0.2987 0.2532 0.0955
0.7013 0.7468 0.9045
0.7013 0.9545 0.4045
0.7468 0.0455 0.0955
0.7468 0.7013 0.5955
0.7650 0.0000 0.7500
0.7650 0.7650 0.2500
0.9545 0.2532 0.5955
0.9545 0.7013 0.0955
```

Computed properties:
* density: 6.8 Mg/m³



Version ii
Below is a relaxed structure of Ba4Ta2O9, with properties calculated at the GGA-PBEsol level.

Structure (POSCAR):
```
Ba4Ta2O9
1.0
6.0775 0.0000 0.0000
-3.0387 5.2632 0.0000
0.0000 0.0000 16.5459
Ba Ta O
8 4 18
Direct
0.0000 0.0000 0.0000
0.0000 0.0000 0.2500
0.0000 0.0000 0.5000
0.0000 0.0000 0.7500
0.3333 0.6667 0.1346
0.3333 0.6667 0.3654
0.6667 0.3333 0.6346
0.6667 0.3333 0.8654
0.3333 0.6667 0.6598
0.3333 0.6667 0.8402
0.6667 0.3333 0.1598
0.6667 0.3333 0.3402
0.0451 0.4733 0.7500
0.1072 0.7529 0.6087
0.1072 0.7529 0.8913
0.2471 0.3543 0.6087
0.2471 0.3543 0.8913
0.3543 0.1072 0.1087
0.3543 0.1072 0.3913
0.4282 0.9549 0.7500
0.4733 0.4282 0.2500
0.5267 0.5718 0.7500
0.5718 0.0451 0.2500
0.6457 0.8928 0.6087
0.6457 0.8928 0.8913
0.7529 0.6457 0.1087
0.7529 0.6457 0.3913
0.8928 0.2471 0.1087
0.8928 0.2471 0.3913
0.9549 0.5267 0.2500
```

Computed properties:
* density: 6.6 Mg/m³



Relative stability in eV/atom, measured from the most stable structure: version i 0.084; version ii 0.000



Version i
Below is a relaxed structure of Ba2Ta2O7, with properties calculated at the GGA-PBEsol level.

Structure (POSCAR):
```
Ba2Ta2O7
1.0
2.0197 -13.7232 0.0000
2.0197 13.7232 0.0000
0.0000 0.0000 5.8636
Ba Ta O
4 4 14
Direct
0.0526 0.9474 0.7500
0.2063 0.7937 0.2500
0.7937 0.2063 0.7500
0.9474 0.0526 0.2500
0.3398 0.6602 0.2500
0.4442 0.5558 0.7500
0.5558 0.4442 0.2500
0.6602 0.3398 0.7500
0.0496 0.9504 0.2500
0.1512 0.8488 0.7500
0.2934 0.7066 0.0215
0.2934 0.7066 0.4785
0.3993 0.6007 0.9995
0.3993 0.6007 0.5005
0.5000 0.5000 0.0000
0.5000 0.5000 0.5000
0.6007 0.3993 0.0005
0.6007 0.3993 0.4995
0.7066 0.2934 0.5215
0.7066 0.2934 0.9785
0.8488 0.1512 0.2500
0.9504 0.0496 0.7500
```

Computed properties:
* density: 7.6 Mg/m³



Version ii
Below is a relaxed structure of Ba2Ta2O7, with properties calculated at the GGA-PBEsol level.

Structure (POSCAR):
```
Ba2Ta2O7
1.0
-3.8189 5.3496 3.9840
3.8189 -5.3496 3.9840
3.8189 5.3496 -3.9840
Ba Ta O
4 4 14
Direct
0.0000 0.0000 0.0000
0.5000 0.0000 0.0000
0.5000 0.0000 0.5000
0.5000 0.5000 0.5000
0.0000 0.0000 0.5000
0.0000 0.5000 0.0000
0.0000 0.5000 0.5000
0.5000 0.5000 0.0000
0.0369 0.2285 0.4289
0.0369 0.6080 0.8084
0.0851 0.8351 0.2500
0.2996 0.2285 0.6916
0.2996 0.6080 0.0711
0.3010 0.7102 0.5908
0.3806 0.2898 0.0908
0.6194 0.7102 0.9092
0.6990 0.2898 0.4092
0.7004 0.3920 0.9289
0.7004 0.7715 0.3084
0.9149 0.1649 0.7500
0.9631 0.3920 0.1916
0.9631 0.7715 0.5711
```

Computed properties:
* density: 7.6 Mg/m³



Relative stability in eV/atom, measured from the most stable structure: version i 0.000; version ii 0.042



Version i
Below is a relaxed structure of Ba4Ta2TiZnO12, with properties calculated at the GGA-PBEsol level.

Structure (POSCAR):
```
Ba4Ta2TiZnO12
1.0
-4.0484 4.0484 8.1676
4.0484 -4.0484 8.1676
4.0484 4.0484 -8.1676
Ba Ta Ti Zn O
8 4 2 2 24
Direct
0.0000 0.2429 0.2429
0.0000 0.7571 0.7571
0.2429 0.0000 0.7429
0.2429 0.5000 0.2429
0.5000 0.2429 0.7429
0.5000 0.7571 0.2571
0.7571 0.0000 0.2571
0.7571 0.5000 0.7571
0.1267 0.3766 0.7500
0.3766 0.1267 0.2500
0.6234 0.8734 0.7500
0.8734 0.6234 0.2500
0.3750 0.6250 0.7500
0.6250 0.3750 0.2500
0.1250 0.8750 0.2500
0.8750 0.1250 0.7500
0.0086 0.2586 0.7500
0.1240 0.6216 0.5024
0.1298 0.1383 0.5084
0.1298 0.6214 0.9916
0.1383 0.1298 0.0084
0.2545 0.5045 0.7500
0.2586 0.0086 0.2500
0.3784 0.3808 0.5024
0.3784 0.8760 0.9976
0.3786 0.8702 0.5084
0.3808 0.3784 0.0024
0.4955 0.7455 0.7500
0.5045 0.2545 0.2500
0.6192 0.6216 0.9976
0.6214 0.1298 0.4916
0.6216 0.1240 0.0024
0.6216 0.6192 0.4976
0.7415 0.9914 0.7500
0.7455 0.4955 0.2500
0.8617 0.8702 0.9916
0.8702 0.3786 0.0084
0.8702 0.8617 0.4916
0.8760 0.3784 0.4976
0.9914 0.7415 0.2500
```

Computed properties:
* density: 7.5 Mg/m³



Version ii
Below is a relaxed structure of Ba4Ta2TiZnO12, with properties calculated at the GGA-PBEsol level.

Structure (POSCAR):
```
Ba4Ta2TiZnO12
1.0
5.7328 0.0000 0.0000
0.0000 5.7328 0.0000
0.0000 0.0000 8.1341
Ba Ta Ti Zn O
4 2 1 1 12
Direct
0.0000 0.5000 0.2413
0.0000 0.5000 0.7587
0.5000 0.0000 0.2413
0.5000 0.0000 0.7587
0.0000 0.0000 0.0000
0.5000 0.5000 0.5000
0.0000 0.0000 0.5000
0.5000 0.5000 0.0000
0.0000 0.0000 0.2553
0.0000 0.0000 0.7447
0.2416 0.2416 0.0000
0.2416 0.7584 0.0000
0.2477 0.2477 0.5000
0.2477 0.7523 0.5000
0.5000 0.5000 0.2617
0.5000 0.5000 0.7383
0.7523 0.2477 0.5000
0.7523 0.7523 0.5000
0.7584 0.2416 0.0000
0.7584 0.7584 0.0000
```

Computed properties:
* density: 7.6 Mg/m³



Relative stability in eV/atom, measured from the most stable structure: version i 0.000; version ii 0.009



Version i
Below is a relaxed structure of Ba2TeO, with properties calculated at the GGA-PBEsol level.

Structure (POSCAR):
```
Ba2TeO
1.0
-3.8745 3.8745 4.3437
3.8745 -3.8745 4.3437
3.8745 3.8745 -4.3437
Ba Te O
4 2 2
Direct
0.0337 0.6250 0.9087
0.3750 0.2837 0.4087
0.7163 0.1250 0.0913
0.8750 0.9663 0.5913
0.2500 0.7500 0.5000
0.5000 0.5000 0.0000
0.0000 0.0000 0.0000
0.7500 0.2500 0.5000
```

Computed properties:
* density: 5.3 Mg/m³



Version ii
Below is a relaxed structure of Ba2TeO, with properties calculated at the GGA-PBEsol level.

Structure (POSCAR):
```
Ba2TeO
1.0
5.0330 0.0000 0.0000
0.0000 5.0330 0.0000
0.0000 0.0000 9.9879
Ba Te O
4 2 2
Direct
0.2500 0.2500 0.1650
0.2500 0.7500 0.5000
0.7500 0.2500 0.5000
0.7500 0.7500 0.8350
0.2500 0.2500 0.7984
0.7500 0.7500 0.2016
0.2500 0.2500 0.4111
0.7500 0.7500 0.5889
```

Computed properties:
* density: 5.5 Mg/m³



Relative stability in eV/atom, measured from the most stable structure: version i 0.114; version ii 0.000



Version i
Below is a relaxed structure of BaTl2O4, with properties calculated at the GGA-PBEsol level.

Structure (POSCAR):
```
BaTl2O4
1.0
10.3207 0.0000 0.0000
0.0000 3.4801 0.0000
0.0000 0.0000 12.0115
Ba Tl O
4 8 16
Direct
0.2453 0.2500 0.1515
0.2547 0.7500 0.6515
0.7453 0.2500 0.3485
0.7547 0.7500 0.8485
0.0746 0.2500 0.3918
0.0784 0.2500 0.8923
0.4216 0.7500 0.3923
0.4254 0.7500 0.8918
0.5746 0.2500 0.1082
0.5784 0.2500 0.6077
0.9216 0.7500 0.1077
0.9254 0.7500 0.6082
0.0210 0.7500 0.7807
0.0773 0.2500 0.5755
0.1203 0.7500 0.0174
0.2077 0.7500 0.3344
0.2923 0.2500 0.8344
0.3797 0.2500 0.5174
0.4227 0.7500 0.0755
0.4790 0.2500 0.2807
0.5210 0.7500 0.7193
0.5773 0.2500 0.9245
0.6203 0.7500 0.4826
0.7077 0.7500 0.1656
0.7923 0.2500 0.6656
0.8797 0.2500 0.9826
0.9227 0.7500 0.4245
0.9790 0.2500 0.2193
```

Computed properties:
* density: 9.4 Mg/m³



Version ii
Below is a relaxed structure of BaTl2O4, with properties calculated at the GGA-PBEsol level.

Structure (POSCAR):
```
BaTl2O4
1.0
1.7662 -5.6857 0.0000
1.7662 5.6857 0.0000
0.0000 0.0000 10.9135
Ba Tl O
2 4 8
Direct
0.1068 0.8932 0.7500
0.8932 0.1068 0.2500
0.3635 0.6365 0.5677
0.3635 0.6365 0.9323
0.6365 0.3635 0.0677
0.6365 0.3635 0.4323
0.0000 0.0000 0.0000
0.0000 0.0000 0.5000
0.2719 0.7281 0.1074
0.2719 0.7281 0.3926
0.4361 0.5639 0.7500
0.5639 0.4361 0.2500
0.7281 0.2719 0.6074
0.7281 0.2719 0.8926
```

Computed properties:
* density: 9.2 Mg/m³



Version iii
Below is a relaxed structure of BaTl2O4, with properties calculated at the GGA-PBEsol level.

Structure (POSCAR):
```
BaTl2O4
1.0
5.2173 -3.0778 0.0000
5.2173 3.0778 0.0000
-0.1184 0.0000 21.7705
Ba Tl O
6 12 24
Direct
0.1209 0.8791 0.7500
0.2046 0.4635 0.3563
0.4635 0.2046 0.8563
0.5365 0.7954 0.1437
0.7954 0.5365 0.6437
0.8791 0.1209 0.2500
0.1361 0.8623 0.5683
0.1377 0.8639 0.9317
0.1998 0.4675 0.1946
0.2076 0.4702 0.0541
0.4675 0.1998 0.6946
0.4702 0.2076 0.5541
0.5298 0.7924 0.4459
0.5325 0.8002 0.3054
0.7924 0.5298 0.9459
0.8002 0.5325 0.8054
0.8623 0.1361 0.0683
0.8639 0.1377 0.4317
0.0254 0.6166 0.8765
0.0978 0.1963 0.9980
0.1036 0.7985 0.1288
0.1165 0.3087 0.7434
0.1963 0.0978 0.4980
0.2015 0.8964 0.3712
0.2336 0.5230 0.6201
0.3087 0.1165 0.2434
0.3834 0.9746 0.6235
0.4585 0.5415 0.2500
0.4770 0.7664 0.8799
0.5000 0.5000 0.0000
0.5000 0.5000 0.5000
0.5230 0.2336 0.1201
0.5415 0.4585 0.7500
0.6166 0.0254 0.3765
0.6913 0.8835 0.7566
0.7664 0.4770 0.3799
0.7985 0.1036 0.6288
0.8037 0.9022 0.5020
0.8835 0.6913 0.2566
0.8964 0.2015 0.8712
0.9022 0.8037 0.0020
0.9746 0.3834 0.1235
```

Computed properties:
* density: 8.7 Mg/m³



Relative stability in eV/atom, measured from the most stable structure: version i 0.000; version ii 0.029; version iii 0.063



Version i
Below is a relaxed structure of BaTl3O, with properties calculated at the GGA-PBEsol level.

Structure (POSCAR):
```
BaTl3O
1.0
5.1791 0.0000 0.0000
0.0000 5.1791 0.0000
0.0000 0.0000 5.1791
Ba Tl O
1 3 1
Direct
0.0000 0.0000 0.0000
0.0000 0.5000 0.5000
0.5000 0.0000 0.5000
0.5000 0.5000 0.0000
0.5000 0.5000 0.5000
```

Computed properties:
* density: 9.2 Mg/m³



Version ii
Below is a relaxed structure of BaTl3O, with properties calculated at the GGA-PBEsol level.

Structure (POSCAR):
```
BaTl3O
1.0
6.3986 0.0000 0.0000
0.0000 6.3986 0.0000
0.0000 0.0000 6.3986
Ba Tl O
1 3 1
Direct
0.0000 0.0000 0.0000
0.0000 0.0000 0.5000
0.0000 0.5000 0.0000
0.5000 0.0000 0.0000
0.5000 0.5000 0.5000
```

Computed properties:
* density: 4.9 Mg/m³



Relative stability in eV/atom, measured from the most stable structure: version i 0.000; version ii 1.442



Version i
Below is a relaxed structure of BaTm2O4, with properties calculated at the GGA-PBEsol level.

Structure (POSCAR):
```
BaTm2O4
1.0
10.2588 0.0000 0.0000
0.0000 3.3846 0.0000
0.0000 0.0000 11.8892
Ba Tm O
4 8 16
Direct
0.2470 0.2500 0.1501
0.2530 0.7500 0.6501
0.7470 0.2500 0.3499
0.7530 0.7500 0.8499
0.0735 0.2500 0.3896
0.0775 0.2500 0.8918
0.4225 0.7500 0.3918
0.4265 0.7500 0.8896
0.5735 0.2500 0.1104
0.5775 0.2500 0.6082
0.9225 0.7500 0.1082
0.9265 0.7500 0.6104
0.0186 0.7500 0.7825
0.0685 0.2500 0.5742
0.1138 0.7500 0.0172
0.2098 0.7500 0.3444
0.2902 0.2500 0.8444
0.3862 0.2500 0.5172
0.4315 0.7500 0.0742
0.4814 0.2500 0.2825
0.5186 0.7500 0.7175
0.5685 0.2500 0.9258
0.6138 0.7500 0.4828
0.7098 0.7500 0.1556
0.7902 0.2500 0.6556
0.8862 0.2500 0.9828
0.9315 0.7500 0.4258
0.9814 0.2500 0.2175
```

Computed properties:
* density: 8.7 Mg/m³



Version ii
Below is a relaxed structure of BaTm2O4, with properties calculated at the GGA-PBEsol level.

Structure (POSCAR):
```
BaTm2O4
1.0
1.6803 -5.5276 0.0000
1.6803 5.5276 0.0000
0.0000 0.0000 11.2651
Ba Tm O
2 4 8
Direct
0.1130 0.8870 0.7500
0.8870 0.1130 0.2500
0.3656 0.6344 0.5700
0.3656 0.6344 0.9300
0.6344 0.3656 0.0700
0.6344 0.3656 0.4300
0.0000 0.0000 0.0000
0.0000 0.0000 0.5000
0.2600 0.7400 0.1008
0.2600 0.7400 0.3992
0.4339 0.5661 0.7500
0.5661 0.4339 0.2500
0.7400 0.2600 0.6008
0.7400 0.2600 0.8992
```

Computed properties:
* density: 8.6 Mg/m³



Relative stability in eV/atom, measured from the most stable structure: version i 0.000; version ii 0.046